w | Below is crystalline ZnPW2 at its relaxed geometry, with properties calculated at the PBE-GGA level.

Geometry as extended XYZ:
```
4
Lattice="2.7758 -4.0880 0.0000 2.7758 4.0880 0.0000 -0.9923 0.0000 2.6176" Properties=species:S:1:pos:R:3 pbc="T T T"
Zn 0.0000 0.0000 0.0000
P 2.7758 0.0000 0.0000
W 0.8917 2.0440 1.3088
W 0.8917 -2.0440 1.3088
```

---

x | Below is crystalline ZnPW2 at its relaxed geometry, with properties calculated at the PBE-GGA level.

Geometry as extended XYZ:
```
4
Lattice="1.4601 0.8430 8.5153 -1.4601 0.8430 8.5153 0.0000 -1.6859 8.5153" Properties=species:S:1:pos:R:3 pbc="T T T"
Zn 0.0000 0.0000 0.0000
P 0.0000 0.0000 6.2937
W 0.0000 0.0000 13.0489
W 0.0000 0.0000 19.2458
```

---

y | Below is crystalline ZnPW2 at its relaxed geometry, with properties calculated at the PBE-GGA level.

Geometry as extended XYZ:
```
4
Lattice="2.7986 0.0000 0.0000 0.0000 4.0509 0.0000 -1.0857 0.0000 5.3041" Properties=species:S:1:pos:R:3 pbc="T T T"
Zn 0.0000 0.0000 0.0000
P -0.5429 0.0000 2.6521
W 0.0146 2.0255 3.9465
W 1.6983 2.0255 1.3576
```

---

z | Below is crystalline ZnPW2 at its relaxed geometry, with properties calculated at the PBE-GGA level.

Geometry as extended XYZ:
```
4
Lattice="0.0000 3.0523 3.0523 3.0523 0.0000 3.0523 3.0523 3.0523 0.0000" Properties=species:S:1:pos:R:3 pbc="T T T"
Zn 0.0000 0.0000 0.0000
P 3.0523 3.0523 3.0523
W 1.5261 1.5261 1.5261
W 4.5784 4.5784 4.5784
```

---

Relative calculated energies, zero for the most stable structure, unit eV/atom: w 0.157; x 0.000; y 0.050; z 0.140.